{"formula": "Li2HgSeI", "functional": "PBE", "state": "relaxed", "rho_g_cm3": 4.9, "formation_energy_uncorrected_ev_per_atom": -0.758, "e_tot_ev_per_atom": -2.590, "dos_at_fermi_per_ev_atom": 0.014, "cell": [[-3.9823, 3.1797, -0.3797], [-3.2016, -3.9658, 0.3673], [-0.0703, 0.5571, 5.4019]], "species": ["I", "Li", "Li", "Hg", "Se"], "frac_coords": [[0.5000, 0.5000, 0.5000], [0.5000, 0.0000, 0.0000], [0.0000, 0.5000, 0.0000], [0.0000, 0.0000, 0.5000], [0.0000, 0.0000, 0.0000]]}



{"formula": "BaSiS2Cl", "functional": "PBE", "state": "relaxed", "rho_g_cm3": 3.8, "formation_energy_uncorrected_ev_per_atom": -1.137, "e_tot_ev_per_atom": -4.626, "dos_at_fermi_per_ev_atom": 0.224, "cell": [[-2.8986, 3.1708, -2.1287], [-3.8124, -2.2441, 1.8485], [0.2346, 2.9160, 4.0240]], "species": ["Si", "Cl", "Ba", "S", "S"], "frac_coords": [[0.0000, 0.0000, 0.0000], [0.0000, 0.0000, 0.5000], [0.5000, 0.5000, 0.5000], [0.5000, 0.0000, 0.0000], [0.0000, 0.5000, 0.0000]]}